VASP calculation (PBE) on crystalline Sm2HoTl2Zn2 at its relaxed geometry.

Lattice parameters (Å, degrees): 9.728 9.728 9.728 28.25 28.25 28.25
Sites, in units of the cell vectors:
Sm (0.126, 0.126, 0.126)
Sm (0.874, 0.874, 0.874)
Ho (0.000, 0.000, 0.000)
Tl (0.265, 0.265, 0.265)
Tl (0.735, 0.735, 0.735)
Zn (0.389, 0.389, 0.389)
Zn (0.611, 0.611, 0.611)

Space-group type   R-3m


VASP calculation (PBE) on crystalline SmHoTlZn at its relaxed geometry.

Lattice parameters (Å, degrees): 3.691 3.691 7.507 90.00 90.00 90.00
Sites, in units of the cell vectors:
Sm (0.000, 0.000, 0.000)
Ho (0.000, 0.000, 0.544)
Tl (0.500, 0.500, 0.281)
Zn (0.500, 0.500, 0.759)

Distance to the lowest polymorph of the same formula   0 meV/atom
Space-group type   P4mm


VASP calculation (PBE) on crystalline SmHo5Tm4 at its relaxed geometry.

Lattice parameters (Å, degrees): 7.791 7.791 7.791 99.34 99.34 132.48
Sites, in units of the cell vectors:
Sm (0.000, 0.000, 0.000)
Ho (0.456, 0.456, 0.000)
Ho (0.492, 0.870, 0.909)
Ho (0.583, 0.492, 0.622)
Ho (0.870, 0.961, 0.378)
Ho (0.961, 0.583, 0.091)
Tm (0.178, 0.880, 0.601)
Tm (0.280, 0.577, 0.399)
Tm (0.577, 0.178, 0.298)
Tm (0.880, 0.280, 0.702)

Space-group type   I4


Formation energy from the elements for the records above, in order: -1.2; -1.4; 3.1 eV/f.u.